! SrBi2S4, relaxed, DFT PBE; values from VASP
&SYSTEM
  ibrav = 0, nat = 84, ntyp = 3
/
ATOMIC_SPECIES
Sr 87.62 Sr.upf
S 32.06 S.upf
Bi 208.98 Bi.upf
CELL_PARAMETERS angstrom
-7.419 -22.787 8.178
-2.932 6.282 -24.353
3.714 -1.509 -0.836
ATOMIC_POSITIONS angstrom
Sr -2.034 -12.319 -1.838
Sr -3.563 -13.846 -5.872
Sr -3.074 -4.167 -11.140
Sr -6.419 -9.537 -16.302
Sr -4.791 -14.560 -10.034
Sr -3.816 -16.521 -2.168
Sr -1.846 -3.454 -6.977
Sr -4.405 -19.651 0.865
Sr -0.218 -8.476 -0.709
Sr -4.603 -5.694 -15.173
Sr -2.232 1.637 -17.877
Sr -2.821 -1.492 -14.843
S -0.815 -3.085 -13.087
S -0.816 -5.201 -9.276
S 0.216 2.878 -19.268
S -1.216 0.102 -20.620
S -5.521 -11.949 -17.989
S -1.736 -1.680 -9.691
S -2.880 -6.434 -6.188
S -6.681 -8.484 -19.366
S -6.724 -17.160 -13.925
S -2.561 -10.652 -7.186
S -1.344 -9.702 -3.495
S -4.220 -21.748 5.471
S -5.293 -8.312 -13.516
S 0.087 -0.853 -3.086
S -5.700 -21.577 -1.411
S -6.853 -20.891 2.257
S -4.076 -7.362 -9.825
S -1.978 -4.296 -16.067
S -7.015 -13.467 -11.859
S -7.672 -16.170 -9.898
S -4.659 -13.718 -0.944
S -1.551 -13.062 1.647
S -2.134 -6.237 -13.256
S -8.167 -14.235 -15.588
S -3.724 -8.172 -16.823
S 0.378 -4.546 -5.153
S -5.086 -4.952 -18.659
S -1.335 0.959 -12.672
S -0.387 -0.244 -16.311
S -1.891 -6.137 -2.335
S -3.757 -11.580 -10.823
S 1.035 -1.843 -7.113
S -4.900 -16.334 -7.320
S -4.746 -11.877 -14.676
S 1.530 -3.778 -1.423
S -3.467 -1.363 -17.948
S -0.937 3.563 -15.601
S -5.302 -18.973 -4.340
S 0.044 -9.530 2.355
S -4.503 -11.777 -3.756
S -5.822 -14.928 -3.924
S -5.821 -12.813 -7.736
S -1.116 -6.065 0.978
S -2.913 -9.841 -0.188
S -5.421 -18.116 3.609
S -6.250 -17.769 -0.700
S -2.417 3.735 -22.482
S -3.170 -16.651 0.937
Bi -8.780 -17.596 -12.242
Bi -1.600 -7.560 -8.500
Bi -2.640 -10.550 2.303
Bi -4.317 -14.254 1.541
Bi -2.776 -17.320 3.892
Bi 0.244 -1.341 -11.533
Bi 0.670 1.406 -14.597
Bi -5.363 -19.439 6.255
Bi -2.851 -8.517 -12.325
Bi -3.786 -9.497 -4.687
Bi -0.479 -6.976 -4.573
Bi 2.143 -0.417 -4.770
Bi -2.320 -3.760 -18.552
Bi -0.841 -3.387 -2.637
Bi -3.861 -0.694 -20.903
Bi -7.307 -19.419 -2.415
Bi -5.037 -10.454 -8.512
Bi -5.796 -14.627 -14.375
Bi -0.478 0.377 -7.814
Bi -6.159 -18.390 -9.197
Bi -1.274 1.426 -23.266
Bi -6.881 -16.672 -5.478
Bi -3.997 -7.464 -19.314
Bi -6.158 -11.037 -12.438
! Uncorrected formation energy   -6.127 eV/f.u.
! Polymorph energy (0 for the lowest one)   0 kJ/mol of formula units



! KSm2C2N6, relaxed, DFT PBE; values from VASP
&SYSTEM
  ibrav = 0, nat = 11, ntyp = 4
/
ATOMIC_SPECIES
N 14.01 N.upf
K 39.10 K.upf
Sm 150.36 Sm.upf
C 12.01 C.upf
CELL_PARAMETERS angstrom
6.311 0.004 0.003
3.153 5.139 0.104
-0.001 -2.748 5.665
ATOMIC_POSITIONS angstrom
N 4.280 0.729 4.641
N 3.153 2.564 3.680
N 2.029 0.726 4.639
N 7.435 1.670 1.134
N 5.184 1.666 1.131
N 6.311 -0.169 2.092
K 3.155 -1.372 2.834
Sm 6.310 -0.442 4.574
Sm 3.153 2.837 1.198
C 6.310 1.023 1.481
C 3.154 1.372 4.291
! Uncorrected formation energy   -3.977 eV/f.u.
! DOS at the Fermi energy   0.3148 states/eV/atom



! Sb2PtPb, relaxed, DFT PBE; values from VASP
&SYSTEM
  ibrav = 0, nat = 4, ntyp = 3
/
ATOMIC_SPECIES
Sb 121.76 Sb.upf
Pb 207.20 Pb.upf
Pt 195.08 Pt.upf
CELL_PARAMETERS angstrom
7.011 -0.005 -0.019
4.644 5.252 0.019
-5.617 -3.092 2.836
ATOMIC_POSITIONS angstrom
Sb 3.658 -0.215 1.408
Sb 0.877 0.395 0.000
Pb 5.081 2.288 0.000
Pt 2.250 2.312 1.428
! Uncorrected formation energy   -0.299 eV/f.u.
! DOS at the Fermi energy   0.4386 states/eV/atom



! Y2FeAu, relaxed, DFT PBE; values from VASP
&SYSTEM
  ibrav = 0, nat = 4, ntyp = 3
/
ATOMIC_SPECIES
Y 88.91 Y.upf
Fe 55.84 Fe.upf
Au 196.97 Au.upf
CELL_PARAMETERS angstrom
-3.795 2.646 3.471
-2.051 -2.934 4.543
5.161 1.164 -2.338
ATOMIC_POSITIONS angstrom
Y 0.093 -0.957 3.106
Y 0.000 0.000 0.000
Fe -0.779 1.833 2.570
Au -2.923 -0.144 4.007
! E_form   -0.120 eV/atom
! DOS at the Fermi energy   1.2592 states/eV/atom



! BeAlH, relaxed, DFT PBE; values from VASP
&SYSTEM
  ibrav = 0, nat = 6, ntyp = 3
/
ATOMIC_SPECIES
Al 26.98 Al.upf
Be 9.01 Be.upf
H 1.01 H.upf
CELL_PARAMETERS angstrom
3.706 0.092 -0.009
0.137 3.744 -0.023
1.352 -0.004 4.121
ATOMIC_POSITIONS angstrom
Al 2.589 1.017 3.162
Al 2.606 2.814 0.927
Be 4.409 2.896 2.581
Be 0.786 0.936 1.508
H 1.613 2.804 3.680
H 3.582 1.027 0.410
! Polymorph energy (0 for the lowest one)   15 kJ/mol of formula units
! DOS at the Fermi energy   0.1368 states/eV/atom



! Mg2CdSe, relaxed, DFT PBE; values from VASP
&SYSTEM
  ibrav = 0, nat = 4, ntyp = 3
/
ATOMIC_SPECIES
Mg 24.30 Mg.upf
Cd 112.41 Cd.upf
Se 78.96 Se.upf
CELL_PARAMETERS angstrom
-3.538 0.396 -0.592
-0.945 -1.735 4.485
0.208 4.552 1.804
ATOMIC_POSITIONS angstrom
Mg -0.369 1.409 3.145
Mg 0.000 0.000 0.000
Cd -1.665 2.474 0.606
Se -2.241 -0.669 1.947
! Uncorrected formation energy   -1.126 eV/f.u.
! Polymorph energy (0 for the lowest one)   81 kJ/mol of formula units
! DOS at the Fermi energy   0.4713 states/eV/atom



! MgNbHgCl2, relaxed, DFT PBE; values from VASP
&SYSTEM
  ibrav = 0, nat = 5, ntyp = 4
/
ATOMIC_SPECIES
Cl 35.45 Cl.upf
Mg 24.30 Mg.upf
Hg 200.59 Hg.upf
Nb 92.91 Nb.upf
CELL_PARAMETERS angstrom
-3.296 2.433 -3.294
0.220 -4.561 -3.589
-4.090 -2.161 2.496
ATOMIC_POSITIONS angstrom
Cl -2.045 -1.081 1.248
Cl -1.648 1.216 -1.647
Mg -3.583 -2.145 -2.193
Hg 0.000 0.000 0.000
Nb 0.110 -2.281 -1.794
! Uncorrected formation energy   3.791 eV/f.u.
! DOS at the Fermi energy   1.6753 states/eV/atom



! Tb4Zn2Ga, relaxed, DFT PBE; values from VASP
&SYSTEM
  ibrav = 0, nat = 7, ntyp = 3
/
ATOMIC_SPECIES
Zn 65.41 Zn.upf
Tb 158.93 Tb.upf
Ga 69.72 Ga.upf
CELL_PARAMETERS angstrom
5.811 0.006 -2.042
-2.895 5.025 -2.076
0.003 -0.006 6.159
ATOMIC_POSITIONS angstrom
Zn 2.907 0.000 2.059
Zn 1.458 2.515 -2.059
Tb 1.460 2.512 1.021
Tb -1.447 2.512 -1.038
Tb 2.906 0.003 -1.021
Tb 0.002 -0.003 3.080
Ga 0.000 0.000 0.000
! E_form   -0.303 eV/atom
! DOS at the Fermi energy   0.8547 states/eV/atom



! Zr2VCr, relaxed, DFT PBE; values from VASP
&SYSTEM
  ibrav = 0, nat = 4, ntyp = 3
/
ATOMIC_SPECIES
V 50.94 V.upf
Cr 52.00 Cr.upf
Zr 91.22 Zr.upf
CELL_PARAMETERS angstrom
0.000 3.312 3.312
3.312 0.000 3.312
3.312 3.312 0.000
ATOMIC_POSITIONS angstrom
V 0.000 0.000 0.000
Cr 3.312 3.312 3.312
Zr 1.656 1.656 1.656
Zr 4.969 4.969 4.969
! E_form   0.196 eV/atom
! Polymorph energy (0 for the lowest one)   0 kJ/mol of formula units
! DOS at the Fermi energy   1.0248 states/eV/atom



! Li2YIn2, relaxed, DFT PBE; values from VASP
&SYSTEM
  ibrav = 0, nat = 10, ntyp = 3
/
ATOMIC_SPECIES
Y 88.91 Y.upf
Li 6.94 Li.upf
In 114.82 In.upf
CELL_PARAMETERS angstrom
-4.018 -2.309 -1.066
1.800 -4.116 2.132
-2.923 0.694 9.512
ATOMIC_POSITIONS angstrom
Y -0.342 -3.879 4.387
Y -4.799 -1.853 6.189
Li -3.267 -2.960 2.813
Li -0.421 -2.409 1.500
Li -4.721 -3.323 9.076
Li -1.874 -2.772 7.764
In -1.956 -1.311 4.906
In -3.589 -0.127 8.498
In -3.185 -4.421 5.671
In -1.552 -5.604 2.079
! E_form   -0.322 eV/atom
! Polymorph energy (0 for the lowest one)   0 kJ/mol of formula units
! DOS at the Fermi energy   0.2025 states/eV/atom



! Dy2ScUN4, relaxed, DFT PBE; values from VASP
&SYSTEM
  ibrav = 0, nat = 8, ntyp = 4
/
ATOMIC_SPECIES
N 14.01 N.upf
Dy 162.50 Dy.upf
U 238.03 U.upf
Sc 44.96 Sc.upf
CELL_PARAMETERS angstrom
-1.375 2.875 -1.203
-0.887 -2.580 -5.152
-4.739 -0.854 3.377
ATOMIC_POSITIONS angstrom
N -1.990 0.595 -1.126
N -1.768 -2.127 -3.062
N -3.858 -1.307 1.287
N -5.011 -1.154 -1.852
Dy -2.813 -1.717 -0.888
Dy -3.057 1.011 1.087
U -1.131 0.148 -3.177
Sc 0.000 0.000 0.000
! Uncorrected formation energy   -13.205 eV/f.u.
! DOS at the Fermi energy   0.6184 states/eV/atom



! EuLuPd4, relaxed, DFT PBE; values from VASP
&SYSTEM
  ibrav = 0, nat = 6, ntyp = 3
/
ATOMIC_SPECIES
Pd 106.42 Pd.upf
Lu 174.97 Lu.upf
Eu 151.96 Eu.upf
CELL_PARAMETERS angstrom
-2.624 -3.466 -3.303
-2.868 -4.139 2.110
-5.454 0.056 -0.238
ATOMIC_POSITIONS angstrom
Pd -4.110 -4.749 -0.776
Pd -6.846 -4.721 -0.895
Pd -5.407 -2.645 -1.953
Pd -5.529 -2.983 0.762
Lu 0.000 0.000 0.000
Eu -2.737 -1.887 -0.358
! E_form   -0.733 eV/atom
! DOS at the Fermi energy   2.5212 states/eV/atom



! Zr3MnCo8, relaxed, DFT PBE; values from VASP
&SYSTEM
  ibrav = 0, nat = 12, ntyp = 3
/
ATOMIC_SPECIES
Zr 91.22 Zr.upf
Co 58.93 Co.upf
Mn 54.94 Mn.upf
CELL_PARAMETERS angstrom
-2.162 3.961 1.782
-4.712 0.784 -0.854
-4.149 -2.401 6.908
ATOMIC_POSITIONS angstrom
Zr -5.482 1.235 3.814
Zr -6.197 -0.298 6.354
Zr -6.911 4.665 1.061
Co -6.942 2.414 6.025
Co -9.286 2.804 5.601
Co -3.101 -0.154 3.186
Co -8.613 1.016 7.106
Co -3.781 1.616 1.709
Co -8.210 0.834 4.714
Co -6.151 2.010 1.279
Co -4.868 3.608 2.605
Mn -7.587 3.215 3.462
! E_form   -0.256 eV/atom
! DOS at the Fermi energy   1.2369 states/eV/atom



! Fe2CuNiIr, relaxed, DFT PBE; values from VASP
&SYSTEM
  ibrav = 0, nat = 5, ntyp = 4
/
ATOMIC_SPECIES
Fe 55.84 Fe.upf
Cu 63.55 Cu.upf
Ir 192.22 Ir.upf
Ni 58.69 Ni.upf
CELL_PARAMETERS angstrom
4.217 0.000 0.000
0.000 4.247 0.000
0.000 0.000 4.217
ATOMIC_POSITIONS angstrom
Fe 0.000 0.000 2.108
Fe 2.108 0.000 0.000
Cu 0.000 2.124 0.000
Ir 2.108 2.124 2.108
Ni 0.000 0.000 0.000
! E_form   1.085 eV/atom
! DOS at the Fermi energy   0.9526 states/eV/atom



! In2GaTe2, relaxed, DFT PBE; values from VASP
&SYSTEM
  ibrav = 0, nat = 5, ntyp = 3
/
ATOMIC_SPECIES
Ga 69.72 Ga.upf
Te 127.60 Te.upf
In 114.82 In.upf
CELL_PARAMETERS angstrom
-1.447 3.588 -2.170
-2.731 0.936 3.367
3.622 6.632 4.016
ATOMIC_POSITIONS angstrom
Ga 0.000 0.000 0.000
Te 0.472 8.082 3.980
Te -1.028 3.073 1.233
In 0.043 6.241 1.222
In -0.599 4.915 3.991
! Uncorrected formation energy   0.004 eV/f.u.
! Polymorph energy (0 for the lowest one)   37 kJ/mol of formula units
! DOS at the Fermi energy   0.4151 states/eV/atom



! CrOs4Au, relaxed, DFT PBE; values from VASP
&SYSTEM
  ibrav = 0, nat = 6, ntyp = 3
/
ATOMIC_SPECIES
Os 190.23 Os.upf
Au 196.97 Au.upf
Cr 52.00 Cr.upf
CELL_PARAMETERS angstrom
4.794 -1.886 0.259
3.157 1.493 3.796
1.271 -3.307 3.748
ATOMIC_POSITIONS angstrom
Os 5.128 -0.657 3.002
Os 3.364 -1.369 4.749
Os 5.765 -2.313 4.879
Os 4.184 -3.061 2.978
Au 2.305 -0.925 1.951
Cr 0.000 0.000 0.000
! E_form   0.793 eV/atom
! DOS at the Fermi energy   1.4615 states/eV/atom



! Nd6Sm2TmTh, relaxed, DFT PBE; values from VASP
&SYSTEM
  ibrav = 0, nat = 20, ntyp = 4
/
ATOMIC_SPECIES
Tm 168.93 Tm.upf
Nd 144.24 Nd.upf
Sm 150.36 Sm.upf
Th 232.04 Th.upf
CELL_PARAMETERS angstrom
9.362 -2.270 -2.356
0.819 8.620 -1.948
0.819 -2.266 8.542
ATOMIC_POSITIONS angstrom
Tm 7.841 2.482 0.560
Tm 3.160 1.603 3.678
Nd 1.225 -0.862 6.062
Nd 5.906 4.954 -1.814
Nd 9.776 4.946 -1.823
Nd 5.095 -0.870 6.053
Nd 8.749 -0.430 5.713
Nd 6.934 -2.776 3.279
Nd 4.222 2.829 0.668
Nd 4.067 6.860 0.959
Nd 6.779 1.255 3.570
Nd 2.253 4.515 -1.475
Nd 2.098 4.656 2.564
Nd 8.903 -0.572 1.674
Sm 5.479 4.283 3.445
Sm 10.160 2.149 3.230
Sm 5.523 -0.198 0.793
Sm 0.841 1.935 1.009
Th 7.841 -3.735 6.550
Th 3.160 7.819 -2.312
! E_form   0.144 eV/atom
! DOS at the Fermi energy   1.4319 states/eV/atom



! B5C7, relaxed, DFT PBE; values from VASP
&SYSTEM
  ibrav = 0, nat = 12, ntyp = 2
/
ATOMIC_SPECIES
B 10.81 B.upf
C 12.01 C.upf
CELL_PARAMETERS angstrom
6.223 0.108 -1.537
5.617 2.682 -1.537
-0.180 -0.042 5.326
ATOMIC_POSITIONS angstrom
B 2.829 0.667 1.686
B 0.165 0.039 2.246
B 4.157 0.980 -0.634
B 10.483 2.471 1.535
B 7.711 1.818 -0.282
C 6.936 1.635 -1.666
C 6.777 1.597 1.103
C 7.664 1.806 2.386
C 10.892 2.567 -1.954
C 0.026 0.006 5.169
C 2.580 0.608 3.973
C 3.775 0.890 2.822
! E_form   0.373 eV/atom
! Polymorph energy (0 for the lowest one)   134 kJ/mol of formula units
! DOS at the Fermi energy   0.1193 states/eV/atom



! CsBaNaH4, relaxed, DFT PBE; values from VASP
&SYSTEM
  ibrav = 0, nat = 7, ntyp = 4
/
ATOMIC_SPECIES
H 1.01 H.upf
Ba 137.33 Ba.upf
Cs 132.91 Cs.upf
Na 22.99 Na.upf
CELL_PARAMETERS angstrom
-1.484 -4.065 -0.156
2.373 -0.730 -3.548
5.261 0.151 6.131
ATOMIC_POSITIONS angstrom
H 4.332 -3.929 1.064
H 6.644 -2.514 2.319
H 4.716 -4.182 4.015
H 2.116 -0.833 1.587
Ba 4.217 -1.660 3.162
Cs 2.073 -3.039 -0.631
Na 0.058 -0.023 0.044
! E   -2.81 eV/atom
! DOS at the Fermi energy   0.0000 states/eV/atom



! NdZr2NbN4, relaxed, DFT PBE; values from VASP
&SYSTEM
  ibrav = 0, nat = 16, ntyp = 4
/
ATOMIC_SPECIES
N 14.01 N.upf
Nd 144.24 Nd.upf
Zr 91.22 Zr.upf
Nb 92.91 Nb.upf
CELL_PARAMETERS angstrom
-3.068 1.139 -0.478
-0.182 -5.903 -1.463
-2.679 -2.626 10.929
ATOMIC_POSITIONS angstrom
N -1.203 -3.086 0.367
N -4.725 -4.303 8.621
N 0.000 0.000 0.000
N -1.340 -1.313 5.464
N -4.001 -3.594 5.667
N -2.342 -0.516 2.356
N -3.587 -6.873 6.631
N -1.928 -3.795 3.321
Nd -3.531 -4.213 1.176
Nd -2.398 -3.176 7.811
Zr -2.700 -5.348 4.579
Zr -3.228 -2.041 4.409
Zr -2.072 -0.908 -0.308
Zr -3.857 -6.481 9.296
Nb -4.744 -5.133 6.766
Nb -1.184 -2.256 2.222
! Uncorrected formation energy   -9.772 eV/f.u.
! DOS at the Fermi energy   0.4352 states/eV/atom



! CsGa2Cu, relaxed, DFT PBE; values from VASP
&SYSTEM
  ibrav = 0, nat = 4, ntyp = 3
/
ATOMIC_SPECIES
Ga 69.72 Ga.upf
Cs 132.91 Cs.upf
Cu 63.55 Cu.upf
CELL_PARAMETERS angstrom
3.313 0.000 0.000
0.000 3.313 0.000
0.000 0.000 8.727
ATOMIC_POSITIONS angstrom
Ga 0.000 0.000 7.314
Ga 0.000 0.000 1.413
Cs 1.657 1.657 4.364
Cu 1.657 1.657 0.000
! E_form   0.138 eV/atom
! Polymorph energy (0 for the lowest one)   80 kJ/mol of formula units
! DOS at the Fermi energy   0.4034 states/eV/atom